No. 1
A plane-wave DFT calculation with PBE-GGA was carried out for a relaxed structure of NaYSnCl6.

Properties
**ΔE_f (raw)**: -40.19 kcal/mol of atoms
**Uncorrected energy**: -4.284 eV/atom
**SG**: No. 163

Cell lengths 7.0014, 7.0014, 12.3551 Å; angles 90.00, 90.00, 120.00 degrees
Atoms (fractional coordinates):
1 Na 0.3333 0.6667 0.2500
2 Na 0.6667 0.3333 0.7500
3 Y 0.3333 0.6667 0.7500
4 Y 0.6667 0.3333 0.2500
5 Sn 0.0000 0.0000 0.0000
6 Sn 0.0000 0.0000 0.5000
7 Cl 0.0180 0.3529 0.6288
8 Cl 0.0180 0.6651 0.8712
9 Cl 0.3349 0.3529 0.8712
10 Cl 0.3349 0.9820 0.6288
11 Cl 0.3529 0.0180 0.1288
12 Cl 0.3529 0.3349 0.3712
13 Cl 0.6471 0.6651 0.6288
14 Cl 0.6471 0.9820 0.8712
15 Cl 0.6651 0.0180 0.3712
16 Cl 0.6651 0.6471 0.1288
17 Cl 0.9820 0.3349 0.1288
18 Cl 0.9820 0.6471 0.3712

No. 2
A plane-wave DFT calculation with PBE-GGA was carried out for a relaxed structure of NaYSn2Cl8.

Properties
**ΔE_f (raw)**: -35.85 kcal/mol of atoms
**Uncorrected energy**: -4.102 eV/atom
**SG**: No. 2

Cell lengths 6.4927, 6.7462, 8.4116 Å; angles 89.97, 89.99, 88.77 degrees
Atoms (fractional coordinates):
1 Na 0.0000 0.0000 0.0000
2 Y 0.0000 0.0000 0.5000
3 Sn 0.4997 0.4996 0.2449
4 Sn 0.5003 0.5004 0.7551
5 Cl 0.2222 0.8397 0.2637
6 Cl 0.2230 0.8406 0.7363
7 Cl 0.2417 0.3132 0.4993
8 Cl 0.2818 0.3381 0.0006
9 Cl 0.7182 0.6619 0.9994
10 Cl 0.7583 0.6868 0.5007
11 Cl 0.7770 0.1594 0.2637
12 Cl 0.7778 0.1603 0.7363

No. 3
A plane-wave DFT calculation with PBE-GGA was carried out for a relaxed structure of NaZnSnCl5.

Properties
**ΔE_f (raw)**: -28.55 kcal/mol of atoms
**Uncorrected energy**: -3.217 eV/atom
**SG**: No. 15

Cell lengths 7.4983, 7.4983, 8.8020 Å; angles 91.62, 91.62, 107.51 degrees
Atoms (fractional coordinates):
1 Na 0.0000 0.0000 0.0000
2 Na 0.0000 0.0000 0.5000
3 Zn 0.2671 0.7329 0.7500
4 Zn 0.7329 0.2671 0.2500
5 Sn 0.3588 0.6412 0.2500
6 Sn 0.6412 0.3588 0.7500
7 Cl 0.0368 0.3223 0.1703
8 Cl 0.1468 0.8532 0.2500
9 Cl 0.2748 0.5285 0.5577
10 Cl 0.3223 0.0368 0.6703
11 Cl 0.4715 0.7252 0.9423
12 Cl 0.5285 0.2748 0.0577
13 Cl 0.6777 0.9632 0.3297
14 Cl 0.7252 0.4715 0.4423
15 Cl 0.8532 0.1468 0.7500
16 Cl 0.9632 0.6777 0.8297